# 1
! NaP2WN6 GGA-PBE optimized geometry; values from VASP
! E_tot: -7.74 eV per atom
! SG: C2/c, No. 15
! ΔE_f (raw): -234.0 meV/atom
&SYSTEM
  ibrav = 0, nat = 20, ntyp = 4
/
ATOMIC_SPECIES
Na 22.99 Na.upf
P 30.97 P.upf
W 183.84 W.upf
N 14.01 N.upf
CELL_PARAMETERS angstrom
5.265 0.138 0.143
1.853 7.434 -0.486
1.853 -0.761 7.411
ATOMIC_POSITIONS crystal
Na 0.250 0.880 0.120
Na 0.750 0.120 0.880
P 0.279 0.815 0.668
P 0.221 0.332 0.185
P 0.721 0.185 0.332
P 0.779 0.668 0.815
W 0.250 0.272 0.728
W 0.750 0.728 0.272
N 0.212 0.040 0.692
N 0.288 0.308 0.960
N 0.788 0.960 0.308
N 0.712 0.692 0.040
N 0.432 0.729 0.452
N 0.068 0.548 0.271
N 0.568 0.271 0.548
N 0.932 0.452 0.729
N 0.972 0.794 0.743
N 0.528 0.257 0.206
N 0.028 0.206 0.257
N 0.472 0.743 0.794

---

# 2
! NaZr2PN GGA-PBE optimized geometry; values from VASP
! E_tot: -7.02 eV per atom
! SG: P4/mmm, No. 123
! ΔE_f (raw): -590.2 meV/atom
&SYSTEM
  ibrav = 0, nat = 5, ntyp = 4
/
ATOMIC_SPECIES
P 30.97 P.upf
N 14.01 N.upf
Zr 91.22 Zr.upf
Na 22.99 Na.upf
CELL_PARAMETERS angstrom
4.395 0.000 0.000
0.000 4.370 0.000
0.000 0.000 4.395
ATOMIC_POSITIONS crystal
P 0.500 0.500 0.500
N 0.000 0.000 0.000
Zr 0.000 0.000 0.500
Zr 0.500 0.000 0.000
Na 0.000 0.500 0.000

---

# 3
! NaPaN2 GGA-PBE optimized geometry; values from VASP
! E_tot: -8.04 eV per atom
! SG: R3m, No. 160
! ΔE_f (raw): -1171.2 meV/atom
&SYSTEM
  ibrav = 0, nat = 4, ntyp = 3
/
ATOMIC_SPECIES
Na 22.99 Na.upf
Pa 231.04 Pa.upf
N 14.01 N.upf
CELL_PARAMETERS angstrom
3.574 0.000 0.000
1.787 3.095 0.000
1.787 1.032 6.011
ATOMIC_POSITIONS crystal
Na 0.491 0.491 0.528
Pa 0.669 0.669 0.994
N 0.062 0.062 0.815
N 0.279 0.279 0.162

---

# 4
! NaPa2N GGA-PBE optimized geometry; values from VASP
! E_tot: -7.59 eV per atom
! SG: R-3m, No. 166
! ΔE_f (raw): -426.9 meV/atom
&SYSTEM
  ibrav = 0, nat = 4, ntyp = 3
/
ATOMIC_SPECIES
Na 22.99 Na.upf
Pa 231.04 Pa.upf
N 14.01 N.upf
CELL_PARAMETERS angstrom
-2.597 -0.067 1.987
-2.662 -1.700 -0.846
2.014 -8.799 5.026
ATOMIC_POSITIONS crystal
Na 0.000 0.000 0.000
Pa 0.118 0.118 0.647
Pa 0.882 0.882 0.353
N 0.500 0.500 0.500

---

# 5
! Na2PaN2 GGA-PBE optimized geometry; values from VASP
! E_tot: -6.72 eV per atom
! SG: C2/m, No. 12
! ΔE_f (raw): -962.9 meV/atom
&SYSTEM
  ibrav = 0, nat = 5, ntyp = 3
/
ATOMIC_SPECIES
Na 22.99 Na.upf
Pa 231.04 Pa.upf
N 14.01 N.upf
CELL_PARAMETERS angstrom
-1.533 1.533 2.861
-3.328 1.322 -0.239
-3.310 -7.340 4.412
ATOMIC_POSITIONS crystal
Na 0.543 0.734 0.181
Na 0.457 0.266 0.819
Pa 0.000 0.500 0.500
N 0.742 0.131 0.385
N 0.258 0.869 0.615

---

# 6
! NaPaN2 GGA-PBE optimized geometry; values from VASP
! E_tot: -8.12 eV per atom
! SG: R-3m, No. 166
! ΔE_f (raw): -1250.3 meV/atom
&SYSTEM
  ibrav = 0, nat = 4, ntyp = 3
/
ATOMIC_SPECIES
Na 22.99 Na.upf
Pa 231.04 Pa.upf
N 14.01 N.upf
CELL_PARAMETERS angstrom
3.586 0.000 0.000
-1.793 3.106 -0.001
0.000 -2.069 5.685
ATOMIC_POSITIONS crystal
Na 0.500 0.500 0.000
Pa 0.000 0.500 0.500
N 0.273 0.046 0.318
N 0.727 0.954 0.682

---

# 7
! NaPa2N4 GGA-PBE optimized geometry; values from VASP
! E_tot: -8.76 eV per atom
! SG: I-42d, No. 122
! ΔE_f (raw): -1101.9 meV/atom
&SYSTEM
  ibrav = 0, nat = 14, ntyp = 3
/
ATOMIC_SPECIES
Na 22.99 Na.upf
Pa 231.04 Pa.upf
N 14.01 N.upf
CELL_PARAMETERS angstrom
-1.489 -5.994 1.109
5.155 0.042 -3.578
1.286 3.246 5.214
ATOMIC_POSITIONS crystal
Na 0.000 0.000 0.000
Na 0.750 0.500 0.250
Pa 0.875 0.080 0.455
Pa 0.545 0.420 0.625
Pa 0.375 0.920 0.795
Pa 0.205 0.580 0.125
N 0.137 0.880 0.410
N 0.590 0.728 0.471
N 0.007 0.620 0.779
N 0.221 0.228 0.840
N 0.613 0.772 0.993
N 0.743 0.272 0.863
N 0.529 0.120 0.257
N 0.160 0.380 0.387

---

# 8
! Na4Pa3PbN8 GGA-PBE optimized geometry; values from VASP
! E_tot: -7.20 eV per atom
! SG: C2/m, No. 12
! ΔE_f (raw): -695.3 meV/atom
&SYSTEM
  ibrav = 0, nat = 16, ntyp = 4
/
ATOMIC_SPECIES
Na 22.99 Na.upf
Pa 231.04 Pa.upf
Pb 207.20 Pb.upf
N 14.01 N.upf
CELL_PARAMETERS angstrom
-5.806 2.336 3.060
-3.523 -5.615 -2.399
5.869 -0.911 3.903
ATOMIC_POSITIONS crystal
Na 0.500 0.000 0.000
Na 0.500 0.000 0.500
Na 0.000 0.000 0.000
Na 0.000 0.000 0.500
Pa 0.500 0.500 0.000
Pa 0.500 0.500 0.500
Pa 0.000 0.500 0.500
Pb 0.000 0.500 0.000
N 0.238 0.700 0.959
N 0.249 0.703 0.497
N 0.275 0.319 0.550
N 0.721 0.700 0.959
N 0.279 0.300 0.041
N 0.725 0.681 0.450
N 0.751 0.297 0.503
N 0.762 0.300 0.041

---

Question: Number 7 is which compound?
Answer: NaPa2N4

---

Question: Which formula does entry 2 have?
Answer: NaZr2PN